# 1
First-principles (PBE) data for a geometry-optimized PrSm6Al structure, as listed in Alexandria via LeMat-Bulk.

The symmetry is No. 123. The calculation puts the calculated formation energy at -54 meV per atom. For the volume, the calculation gives 31.432 Å³ per atom. The polymorph energy (0 for the lowest one) comes out at 0 meV per atom. The calculation puts the total magnetization at 0.0 μB per formula unit.

a = 4.9522 Å, b = 4.9522 Å, c = 10.2532 Å
α = 90.00°, β = 90.00°, γ = 90.00°
Atoms (fractional coordinates):
1 Pr 0.0000 0.0000 0.5000
2 Sm 0.5000 0.5000 0.0000
3 Sm 0.5000 0.5000 0.5000
4 Sm 0.5000 0.0000 0.2353
5 Sm 0.5000 0.0000 0.7647
6 Sm 0.0000 0.5000 0.2353
7 Sm 0.0000 0.5000 0.7647
8 Al 0.0000 0.0000 0.0000


# 2
First-principles (PBE) data for a geometry-optimized Pr4Sm5Al structure, as listed in Alexandria via LeMat-Bulk.

The symmetry is No. 123. The calculation puts the calculated formation energy at -56 meV per atom. For the volume, the calculation gives 33.149 Å³ per atom. The polymorph energy (0 for the lowest one) comes out at 0 meV per atom. The calculation puts the total magnetization at 0.0 μB per formula unit.

a = 3.6682 Å, b = 3.6682 Å, c = 24.6353 Å
α = 90.00°, β = 90.00°, γ = 90.00°
Atoms (fractional coordinates):
1 Pr 0.0000 0.0000 0.1831
2 Pr 0.0000 0.0000 0.3945
3 Pr 0.0000 0.0000 0.6055
4 Pr 0.0000 0.0000 0.8169
5 Sm 0.5000 0.5000 0.0755
6 Sm 0.5000 0.5000 0.2884
7 Sm 0.5000 0.5000 0.5000
8 Sm 0.5000 0.5000 0.7116
9 Sm 0.5000 0.5000 0.9245
10 Al 0.0000 0.0000 0.0000


# 3
First-principles (PBE) data for a geometry-optimized PrSmAl2 structure, as listed in Alexandria via LeMat-Bulk.

The symmetry is No. 63. The calculation puts the calculated formation energy at -366 meV per atom. For the volume, the calculation gives 27.328 Å³ per atom. The calculation puts the total magnetization at 0.0 μB per formula unit.

a = 4.6545 Å, b = 7.0393 Å, c = 7.0702 Å
α = 90.00°, β = 90.00°, γ = 109.31°
Atoms (fractional coordinates):
1 Pr 0.9405 0.8809 0.2500
2 Pr 0.0595 0.1191 0.7500
3 Sm 0.2229 0.4458 0.2500
4 Sm 0.7771 0.5542 0.7500
5 Al 0.4036 0.8073 0.9364
6 Al 0.5964 0.1927 0.0636
7 Al 0.5964 0.1927 0.4364
8 Al 0.4036 0.8073 0.5636


# 4
First-principles (PBE) data for a geometry-optimized Pr12Sm5Al2 structure, as listed in Alexandria via LeMat-Bulk.

The symmetry is No. 12. The calculation puts the calculated formation energy at 55 meV per atom. For the volume, the calculation gives 33.874 Å³ per atom. The calculation puts the total magnetization at 0.0 μB per formula unit.

a = 8.1390 Å, b = 9.9901 Å, c = 9.1215 Å
α = 73.46°, β = 90.00°, γ = 114.04°
Atoms (fractional coordinates):
1 Pr 0.9470 0.8939 0.1678
2 Pr 0.0643 0.7286 0.8631
3 Pr 0.6643 0.7286 0.8631
4 Pr 0.0819 0.6924 0.4693
5 Pr 0.6105 0.6924 0.4693
6 Pr 0.4816 0.9633 0.6910
7 Pr 0.5184 0.0367 0.3090
8 Pr 0.9181 0.3076 0.5307
9 Pr 0.3895 0.3076 0.5307
10 Pr 0.9357 0.2714 0.1369
11 Pr 0.3357 0.2714 0.1369
12 Pr 0.0530 0.1061 0.8322
13 Sm 0.2485 0.4970 0.7852
14 Sm 0.3180 0.6360 0.1631
15 Sm 0.0000 0.0000 0.5000
16 Sm 0.6820 0.3640 0.8369
17 Sm 0.7515 0.5030 0.2148
18 Al 0.6606 0.0000 0.0000
19 Al 0.3394 0.0000 0.0000


# 5
First-principles (PBE) data for a geometry-optimized Pr5SmAl3 structure, as listed in Alexandria via LeMat-Bulk.

The symmetry is No. 63. The calculation puts the calculated formation energy at -219 meV per atom. For the volume, the calculation gives 29.379 Å³ per atom. The calculation puts the total magnetization at 0.0 μB per formula unit.

a = 6.9158 Å, b = 9.3654 Å, c = 9.4122 Å
α = 119.84°, β = 90.00°, γ = 90.00°
Atoms (fractional coordinates):
1 Pr 0.0000 0.6795 0.3589
2 Pr 0.5000 0.3205 0.6411
3 Pr 0.0000 0.3205 0.6411
4 Pr 0.5000 0.6795 0.3589
5 Pr 0.7500 0.6660 0.6737
6 Pr 0.7500 0.9923 0.3263
7 Pr 0.7500 0.3402 0.0000
8 Pr 0.2500 0.3340 0.3263
9 Pr 0.2500 0.0077 0.6737
10 Pr 0.2500 0.6598 0.0000
11 Sm 0.0000 0.0000 0.0000
12 Sm 0.5000 0.0000 0.0000
13 Al 0.7500 0.3309 0.3304
14 Al 0.7500 0.0006 0.6696
15 Al 0.7500 0.6697 0.0000
16 Al 0.2500 0.6691 0.6696
17 Al 0.2500 0.9994 0.3304
18 Al 0.2500 0.3303 0.0000


# 6
First-principles (PBE) data for a geometry-optimized PrSm4Al structure, as listed in Alexandria via LeMat-Bulk.

The symmetry is No. 123. The calculation puts the calculated formation energy at -100 meV per atom. For the volume, the calculation gives 31.439 Å³ per atom. The polymorph energy (0 for the lowest one) comes out at 0 meV per atom. The calculation puts the total magnetization at 0.0 μB per formula unit.

a = 3.6380 Å, b = 3.6380 Å, c = 14.2527 Å
α = 90.00°, β = 90.00°, γ = 90.00°
Atoms (fractional coordinates):
1 Pr 0.0000 0.0000 0.0000
2 Sm 0.5000 0.5000 0.1836
3 Sm 0.0000 0.0000 0.6333
4 Sm 0.0000 0.0000 0.3667
5 Sm 0.5000 0.5000 0.8164
6 Al 0.5000 0.5000 0.5000


# 7
First-principles (PBE) data for a geometry-optimized Pr2SmAl9 structure, as listed in Alexandria via LeMat-Bulk.

The symmetry is No. 166. The calculation puts the calculated formation energy at -367 meV per atom. For the volume, the calculation gives 20.685 Å³ per atom. The calculation puts the total magnetization at 0.0 μB per formula unit.

a = 5.6845 Å, b = 5.6845 Å, c = 9.4576 Å
α = 72.51°, β = 72.51°, γ = 60.00°
Atoms (fractional coordinates):
1 Pr 0.8585 0.8585 0.4244
2 Pr 0.1415 0.1415 0.5756
3 Sm 0.0000 0.0000 0.0000
4 Al 0.6648 0.6648 0.0057
5 Al 0.3352 0.3352 0.9943
6 Al 0.5000 0.5000 0.5000
7 Al 0.4144 0.4144 0.2461
8 Al 0.9250 0.4144 0.2461
9 Al 0.4144 0.9250 0.2461
10 Al 0.5856 0.5856 0.7539
11 Al 0.5856 0.0750 0.7539
12 Al 0.0750 0.5856 0.7539


# 8
First-principles (PBE) data for a geometry-optimized Pr2SmAl6 structure, as listed in Alexandria via LeMat-Bulk.

The symmetry is No. 71. The calculation puts the calculated formation energy at -199 meV per atom. For the volume, the calculation gives 25.210 Å³ per atom. The polymorph energy (0 for the lowest one) comes out at 272 meV per atom. The calculation puts the total magnetization at 0.0 μB per formula unit.

a = 4.4969 Å, b = 8.1084 Å, c = 8.1084 Å
α = 53.85°, β = 73.90°, γ = 73.90°
Atoms (fractional coordinates):
1 Pr 0.3739 0.1261 0.1261
2 Pr 0.6261 0.8739 0.8739
3 Sm 0.5000 0.5000 0.5000
4 Al 0.1807 0.5087 0.1300
5 Al 0.8193 0.4913 0.8700
6 Al 0.8193 0.8700 0.4913
7 Al 0.0000 0.1897 0.8103
8 Al 0.0000 0.8103 0.1897
9 Al 0.1807 0.1300 0.5087


# 9
First-principles (PBE) data for a geometry-optimized PrSm3Al structure, as listed in Alexandria via LeMat-Bulk.

The symmetry is No. 2. The calculation puts the calculated formation energy at -122 meV per atom. For the volume, the calculation gives 31.021 Å³ per atom. The polymorph energy (0 for the lowest one) comes out at 0 meV per atom. The calculation puts the total magnetization at 0.0 μB per formula unit.

a = 3.7648 Å, b = 8.7347 Å, c = 9.9015 Å
α = 103.72°, β = 100.96°, γ = 90.00°
Atoms (fractional coordinates):
1 Pr 0.8179 0.0674 0.8911
2 Pr 0.0127 0.1573 0.2842
3 Sm 0.6129 0.9248 0.4828
4 Sm 0.2176 0.2999 0.6925
5 Sm 0.4164 0.4053 0.0886
6 Sm 0.2310 0.7274 0.7187
7 Sm 0.4141 0.8193 0.0867
8 Sm 0.5996 0.4973 0.4567
9 Al 0.0134 0.6738 0.2840
10 Al 0.8171 0.5508 0.8913


# 10
First-principles (PBE) data for a geometry-optimized PrSm4Al structure, as listed in Alexandria via LeMat-Bulk.

The symmetry is No. 15. The calculation puts the calculated formation energy at -38 meV per atom. For the volume, the calculation gives 31.690 Å³ per atom. The polymorph energy (0 for the lowest one) comes out at 62 meV per atom. The calculation puts the total magnetization at 0.0 μB per formula unit.

a = 6.3688 Å, b = 9.1222 Å, c = 8.3580 Å
α = 113.84°, β = 100.27°, γ = 111.81°
Atoms (fractional coordinates):
1 Pr 0.3462 0.5962 0.1923
2 Pr 0.6538 0.4038 0.8077
3 Sm 0.0397 0.1677 0.7791
4 Sm 0.7667 0.7175 0.6366
5 Sm 0.2394 0.6114 0.7791
6 Sm 0.3699 0.9191 0.6366
7 Sm 0.6301 0.0809 0.3634
8 Sm 0.7606 0.3886 0.2209
9 Sm 0.2333 0.2825 0.3634
10 Sm 0.9603 0.8323 0.2209
11 Al 0.2498 0.9998 0.9995
12 Al 0.7502 0.0002 0.0005